No. 1
# ZrCd2As

ZrCd2As after structural relaxation (PBE, Alexandria).

Values from the calculation:
SG ... Cmm2
Calculated formation energy ... -157 meV/atom

Cell: 3.231 3.231 8.787 Å, 90.00 90.00 102.95°
Element x y z (fractional)
Zr (0.000, 0.000, 0.000)
Cd (0.000, 0.000, 0.523)
Cd (0.500, 0.500, 0.263)
As (0.500, 0.500, 0.801)


No. 2
# Na2CuSi3O8

Na2CuSi3O8 after structural relaxation (PBE, Alexandria).

Values from the calculation:
SG ... P2_1/c
Raw formation energy ... -2.29 eV/atom

Cell: 8.029 10.413 9.731 Å, 90.00 105.54 90.00°
Element x y z (fractional)
Na (0.192, 0.030, 0.457)
Na (0.192, 0.470, 0.957)
Na (0.205, 0.012, 0.129)
Na (0.205, 0.488, 0.629)
Na (0.795, 0.512, 0.371)
Na (0.795, 0.988, 0.871)
Na (0.808, 0.530, 0.043)
Na (0.808, 0.970, 0.543)
Cu (0.012, 0.226, 0.687)
Cu (0.012, 0.274, 0.187)
Cu (0.988, 0.726, 0.813)
Cu (0.988, 0.774, 0.313)
Si (0.195, 0.525, 0.309)
Si (0.195, 0.975, 0.809)
Si (0.382, 0.215, 0.888)
Si (0.382, 0.285, 0.388)
Si (0.383, 0.727, 0.811)
Si (0.383, 0.773, 0.311)
Si (0.617, 0.227, 0.689)
Si (0.617, 0.273, 0.189)
Si (0.618, 0.715, 0.612)
Si (0.618, 0.785, 0.112)
Si (0.805, 0.025, 0.191)
Si (0.805, 0.475, 0.691)
O (0.072, 0.605, 0.385)
O (0.072, 0.895, 0.885)
O (0.102, 0.053, 0.663)
O (0.102, 0.447, 0.163)
O (0.212, 0.645, 0.813)
O (0.212, 0.855, 0.313)
O (0.236, 0.193, 0.288)
O (0.236, 0.307, 0.788)
O (0.298, 0.081, 0.931)
O (0.298, 0.419, 0.431)
O (0.344, 0.620, 0.274)
O (0.344, 0.880, 0.774)
O (0.463, 0.669, 0.685)
O (0.463, 0.831, 0.185)
O (0.466, 0.207, 0.537)
O (0.466, 0.293, 0.037)
O (0.534, 0.707, 0.963)
O (0.534, 0.793, 0.463)
O (0.537, 0.169, 0.815)
O (0.537, 0.331, 0.315)
O (0.656, 0.120, 0.226)
O (0.656, 0.380, 0.726)
O (0.702, 0.581, 0.569)
O (0.702, 0.919, 0.069)
O (0.764, 0.693, 0.212)
O (0.764, 0.807, 0.712)
O (0.788, 0.145, 0.687)
O (0.788, 0.355, 0.187)
O (0.898, 0.553, 0.837)
O (0.898, 0.947, 0.337)
O (0.928, 0.105, 0.115)
O (0.928, 0.395, 0.615)


No. 3
# HfZnSi3

HfZnSi3 after structural relaxation (PBE, Alexandria).

Values from the calculation:
SG ... Pm-3m
Raw formation energy ... 0.87 eV/atom
Energy relative to the lowest polymorph listed for this composition ... 14 meV per atom

Cell: 5.086 5.086 5.086 Å, 90.00 90.00 90.00°
Element x y z (fractional)
Hf (0.000, 0.000, 0.000)
Zn (0.500, 0.500, 0.500)
Si (0.000, 0.000, 0.500)
Si (0.000, 0.500, 0.000)
Si (0.500, 0.000, 0.000)


Let's list spin magnetization in order: 0.0; 1.0; 0.0 μB/f.u..